44
Lattice="7.2478 0.0000 0.0000 0.0000 7.6869 0.0000 0.0000 0.0000 10.5466" Properties=species:S:1:pos:R:3 comment="Na2VCuF7 | the Alexandria database | GGA+U | optimized geometry" n_ef_per_ev_atom=0.444 dft_energy_ev_per_atom=-4.971 pbc="T T T"
F 5.4358 0.4974 3.4687
F 1.8119 3.1709 5.1437
F 0.3337 5.8606 9.2905
Na 0.0000 3.8435 0.0000
Cu 0.0000 3.8435 5.2733
Cu 3.6239 0.0000 0.0000
F 3.9528 2.7501 3.7012
V 5.4358 2.2235 2.4884
F 6.9189 2.7501 3.7012
F 3.9528 1.0934 8.9745
Na 5.4358 6.0616 2.5686
F 5.4358 7.0144 0.1296
F 3.2902 5.6698 4.0172
F 1.8119 7.1895 7.0778
F 3.2950 4.9369 6.8453
F 1.8119 4.3409 1.8045
Cu 3.6239 3.8435 5.2733
F 5.4358 4.0054 1.5916
F 1.8119 3.6816 8.9549
F 5.4358 3.3461 8.7420
Na 0.0000 0.0000 5.2733
Na 1.8119 2.2181 2.7046
F 0.3337 5.6698 4.0172
F 3.9576 1.8263 1.2561
F 6.9141 2.0171 6.5294
Na 5.4358 5.4688 7.8419
F 5.4358 4.5160 5.4029
V 5.4358 1.6199 7.7617
F 5.4358 7.5250 6.8649
Cu 0.0000 0.0000 0.0000
F 0.3289 4.9369 6.8453
V 1.8119 6.0670 2.7849
F 6.9189 1.0934 8.9745
F 3.2950 6.5935 1.5721
F 6.9141 1.8263 1.2561
Na 1.8119 1.6253 7.9779
F 0.3289 6.5935 1.5721
F 3.2902 5.8606 9.2905
Na 3.6239 0.0000 5.2733
F 1.8119 0.6726 10.4170
V 1.8119 5.4634 8.0582
Na 3.6239 3.8435 0.0000
F 3.9576 2.0171 6.5294
F 1.8119 0.1619 3.6817